A PBEsol-optimized structure of Zr3Tc, computed with meta-GGA SCAN.

Geometry as extended XYZ:
```
4
Lattice="1.648 -2.540 0.000 1.648 2.540 0.000 0.000 0.000 9.398" Properties=species:S:1:pos:R:3 pbc="T T T"
Zr 0.000 0.000 0.000
Zr 1.648 0.000 2.653
Zr 1.648 0.000 6.744
Tc 0.000 0.000 4.699
```

Properties
Energy relative to the elements   -68 meV/atom
E_tot   -127.4 eV for the cell shown
Crystal system   orthorhombic